1.
Material: Cs2PaRhSe4
Method: DFT, PBE
State: relaxed

## Properties
* DOS at the Fermi energy: 0.533 states/eV/atom
* E_tot: -4.953 eV per atom

Cell lengths 6.463, 8.123, 13.750 Å; angles 84.63, 76.41, 66.56 degrees
Element x y z (fractional)
Cs1 0.179 0.000 0.641
Cs2 0.821 0.000 0.359
Cs3 0.571 0.500 0.859
Cs4 0.929 0.500 0.141
Pa1 0.750 0.500 0.500
Pa2 0.000 0.000 0.000
Rh1 0.250 0.500 0.500
Rh2 0.500 0.000 0.000
Se1 0.318 0.801 0.104
Se2 0.222 0.199 0.896
Se3 0.881 0.801 0.896
Se4 0.578 0.199 0.104
Se5 0.432 0.699 0.396
Se6 0.528 0.301 0.604
Se7 0.869 0.699 0.604
Se8 0.172 0.301 0.396

2.
Material: CsPaRhSe3
Method: DFT, PBE
State: relaxed

## Properties
* DOS at the Fermi energy: 0.803 states/eV/atom
* E_tot: -5.819 eV per atom

Cell lengths 4.153, 9.629, 10.231 Å; angles 115.65, 90.00, 90.00 degrees
Element x y z (fractional)
Cs1 0.250 0.223 0.253
Cs2 0.750 0.777 0.747
Pa1 0.250 0.696 0.175
Pa2 0.750 0.304 0.825
Rh1 0.250 0.096 0.596
Rh2 0.750 0.904 0.404
Se1 0.750 0.878 0.144
Se2 0.250 0.122 0.856
Se3 0.250 0.797 0.469
Se4 0.750 0.203 0.531
Se5 0.750 0.470 0.142
Se6 0.250 0.530 0.858

3.
Material: CsPaTe3Rh
Method: DFT, PBE
State: relaxed

## Properties
* DOS at the Fermi energy: 0.461 states/eV/atom
* E_tot: -5.357 eV per atom

Cell lengths 4.199, 10.407, 11.293 Å; angles 119.18, 90.00, 90.00 degrees
Element x y z (fractional)
Cs1 0.250 0.246 0.257
Cs2 0.750 0.754 0.743
Pa1 0.250 0.713 0.181
Pa2 0.750 0.287 0.819
Te1 0.750 0.897 0.131
Te2 0.250 0.103 0.869
Te3 0.250 0.819 0.487
Te4 0.750 0.181 0.513
Te5 0.750 0.473 0.140
Te6 0.250 0.527 0.860
Rh1 0.250 0.118 0.633
Rh2 0.750 0.882 0.367

4.
Material: CsPaTe4Rh
Method: DFT, PBE
State: relaxed

## Properties
* DOS at the Fermi energy: 0.540 states/eV/atom
* E_tot: -5.008 eV per atom

Cell lengths 7.122, 6.719, 10.443 Å; angles 90.00, 101.51, 90.00 degrees
Element x y z (fractional)
Cs1 0.773 0.750 0.973
Cs2 0.227 0.250 0.027
Pa1 0.740 0.750 0.463
Pa2 0.260 0.250 0.537
Te1 0.006 0.502 0.691
Te2 0.994 0.002 0.309
Te3 0.994 0.498 0.309
Te4 0.006 0.998 0.691
Te5 0.434 0.750 0.218
Te6 0.566 0.250 0.782
Te7 0.463 0.750 0.642
Te8 0.537 0.250 0.358
Rh1 0.252 0.750 0.414
Rh2 0.748 0.250 0.586